# 1
Density functional theory data (GGA-PBE) for an optimized crystal structure of Ga3TeIr.

Calculated values
Crystal system   cubic
N(E_F)   0.47 states/eV per atom
Total DFT energy (no corrections)   -22.00 eV for the cell shown

Cell and atoms, written as POSCAR:
```
Ga3TeIr
1.0
4.880 0.000 0.000
0.000 4.880 0.000
0.000 0.000 4.880
Ga Te Ir
3 1 1
Cartesian
0.000 0.000 2.440
0.000 2.440 0.000
2.440 0.000 0.000
2.440 2.440 2.440
0.000 0.000 0.000
```

=====

# 2
Density functional theory data (GGA-PBE) for an optimized crystal structure of GaTe3Ir.

Calculated values
Crystal system   cubic
N(E_F)   1.54 states/eV per atom
Total DFT energy (no corrections)   -19.15 eV for the cell shown

Cell and atoms, written as POSCAR:
```
GaTe3Ir
1.0
5.322 0.000 0.000
0.000 5.322 0.000
0.000 0.000 5.322
Ga Te Ir
1 3 1
Cartesian
0.000 0.000 0.000
0.000 2.661 2.661
2.661 0.000 2.661
2.661 2.661 0.000
2.661 2.661 2.661
```

=====

# 3
Density functional theory data (GGA-PBE) for an optimized crystal structure of GaTeIr3.

Calculated values
Crystal system   cubic
N(E_F)   1.26 states/eV per atom
Total DFT energy (no corrections)   -26.96 eV for the cell shown

Cell and atoms, written as POSCAR:
```
GaTeIr3
1.0
4.609 0.000 0.000
0.000 4.609 0.000
0.000 0.000 4.609
Ga Te Ir
1 1 3
Cartesian
0.000 0.000 0.000
2.304 2.304 2.304
0.000 0.000 2.304
0.000 2.304 0.000
2.304 0.000 0.000
```

=====

# 4
Density functional theory data (GGA-PBE) for an optimized crystal structure of GaTe4Ir.

Calculated values
Crystal system   tetragonal
N(E_F)   0.88 states/eV per atom
Total DFT energy (no corrections)   -48.71 eV for the cell shown

Cell and atoms, written as POSCAR:
```
GaTe4Ir
1.0
-4.518 4.518 4.160
4.518 -4.518 4.160
4.518 4.518 -4.160
Ga Te Ir
2 8 2
Cartesian
0.000 0.000 0.000
0.000 4.518 2.080
4.518 1.762 0.082
2.755 4.518 -1.998
1.762 0.000 2.162
4.518 -1.726 4.113
4.518 1.726 4.113
2.792 4.518 2.033
1.726 0.000 6.193
0.000 2.755 4.242
4.518 0.000 2.144
0.000 0.000 4.224
```